Entry 1:
A relaxed BaLa3Ir crystal. Source: Alexandria, functional PBE.

Values from the calculation:
Total energy, eV per cell: -53.5
Offset from the most stable computed form, meV/atom: 81.3

Unit cell a=8.3786 b=8.3786 c=8.3786 alpha=56.15 beta=56.15 gamma=56.15
With the nearest neighbours (Å) after each atom.
Positions (direct):
1 Ba 0.0886 0.0886 0.0886  1 Ba 3.74, 9 La 3.94-4.06
2 Ba 0.9114 0.9114 0.9114  1 Ba 3.74, 9 La 3.94-4.06
3 La 0.0910 0.5844 0.5844  2 Ir 2.91-2.93
4 La 0.4156 0.4156 0.9090  2 Ir 2.91-2.93
5 La 0.4156 0.9090 0.4156  2 Ir 2.91-2.93
6 La 0.5844 0.0910 0.5844  2 Ir 2.91-2.93
7 La 0.5844 0.5844 0.0910  2 Ir 2.91-2.93
8 La 0.9090 0.4156 0.4156  2 Ir 2.91-2.93
9 Ir 0.3310 0.3310 0.3310  6 La 2.91-2.93
10 Ir 0.6690 0.6690 0.6690  6 La 2.91-2.93

Entry 2:
A relaxed Sm3Dy4Y5 crystal. Source: Alexandria, functional PBE.

Values from the calculation:
Total energy, eV per cell: -64.7
Offset from the most stable computed form, meV/atom: 0.0

Unit cell a=6.1889 b=7.1533 c=8.7522 alpha=90.05 beta=90.09 gamma=90.18
With the nearest neighbours (Å) after each atom.
Positions (direct):
1 Sm 0.0000 0.0000 0.0000  8 Y 3.57-3.58, 2 Dy 3.58, 2 Sm 3.58
2 Sm 0.1661 0.7487 0.6666  6 Dy 3.56-3.60, 5 Y 3.57-3.58, 1 Sm 3.58
3 Sm 0.8339 0.2513 0.3334  6 Dy 3.56-3.60, 5 Y 3.57-3.58, 1 Sm 3.58
4 Dy 0.1673 0.2513 0.6669  4 Sm 3.56-3.60, 3 Dy 3.56-3.58, 5 Y 3.56-3.58
5 Dy 0.3335 0.5000 0.3347  4 Dy 3.55-3.58, 3 Sm 3.56-3.58, 5 Y 3.58
6 Dy 0.6665 0.5000 0.6653  4 Dy 3.55-3.58, 3 Sm 3.56-3.58, 5 Y 3.58
7 Dy 0.8327 0.7487 0.3331  4 Sm 3.56-3.60, 3 Dy 3.56-3.58, 5 Y 3.56-3.58
8 Y 0.0000 0.5000 0.0000  4 Sm 3.57-3.58, 4 Y 3.57, 4 Dy 3.57-3.58
9 Y 0.3325 0.9998 0.3337  4 Sm 3.57-3.58, 3 Y 3.57-3.58, 5 Dy 3.57-3.58
10 Y 0.4993 0.2506 0.0000  3 Dy 3.56-3.58, 3 Sm 3.57-3.58, 6 Y 3.57-3.59
11 Y 0.5007 0.7494 0.0000  3 Dy 3.56-3.58, 3 Sm 3.57-3.58, 6 Y 3.57-3.59
12 Y 0.6675 0.0002 0.6663  4 Sm 3.57-3.58, 3 Y 3.57-3.58, 5 Dy 3.57-3.58

Entry 3:
A relaxed Ce5TmGe5 crystal. Source: Alexandria, functional PBE.

Values from the calculation:
Total energy, eV per cell: -63.3

Unit cell a=7.2405 b=7.2405 c=8.3237 alpha=106.68 beta=106.68 gamma=48.26
With the nearest neighbours (Å) after each atom.
Positions (direct):
1 Ce 0.0000 0.0000 0.0000  4 Ge 2.94-2.95
2 Ce 0.3353 0.3353 0.1669  5 Ge 2.94-2.96
3 Ce 0.3348 0.3348 0.6672  5 Ge 2.94-2.98
4 Ce 0.6652 0.6652 0.3328  5 Ge 2.94-2.98
5 Ce 0.6647 0.6647 0.8331  5 Ge 2.94-2.96
6 Tm 0.0000 0.0000 0.5000  6 Ge 2.96-2.97
7 Ge 0.1663 0.1663 0.8348  5 Ce 2.94-2.98, 1 Tm 2.96
8 Ge 0.1675 0.1675 0.3317  5 Ce 2.95-2.97, 1 Tm 2.97
9 Ge 0.5000 0.5000 0.5000  4 Ce 2.94, 2 Tm 2.96
10 Ge 0.8325 0.8325 0.6683  5 Ce 2.95-2.97, 1 Tm 2.97
11 Ge 0.8337 0.8337 0.1652  5 Ce 2.94-2.98, 1 Tm 2.96

Number 1: energy relative to the elements -0.24 eV/atom. Number 2: energy relative to the elements 0.02 eV/atom. Number 3: energy relative to the elements -0.55 eV/atom.